(1)
{"formula": "CsRb2CuF6", "functional": "PBE-GGA", "state": "relaxed", "lattice_angstrom": [[3.111, -1.594, 5.252], [-0.883, 5.593, 2.783], [-4.770, -3.437, -2.288]], "species": ["Cs", "Cu", "F", "F", "F", "F", "F", "F", "Rb", "Rb"], "frac_coords": [[0.500, 0.500, 0.000], [0.000, 0.000, 0.000], [0.215, 0.215, 0.000], [0.785, 0.785, 0.000], [0.290, 0.889, 0.179], [0.111, 0.290, 0.400], [0.889, 0.710, 0.600], [0.710, 0.111, 0.821], [0.750, 0.250, 0.500], [0.250, 0.750, 0.500]], "energy_ev_per_cell": -39.2}

---

(2)
{"formula": "HoLuNO", "functional": "PBE-GGA", "state": "relaxed", "lattice_angstrom": [[-1.949, -3.376, 0.000], [0.000, 0.000, 4.775], [-5.864, 3.385, 0.000]], "species": ["Ho", "Ho", "Lu", "Lu", "N", "N", "O", "O"], "frac_coords": [[0.000, 0.439, 0.337], [0.000, 0.939, 0.663], [0.500, 0.939, 0.170], [0.500, 0.439, 0.830], [0.000, 0.939, 0.328], [0.000, 0.439, 0.672], [0.500, 0.438, 0.158], [0.500, 0.938, 0.842]], "energy_ev_per_cell": -62.8, "magnetic_moment_mub_per_fu": 0.01}

---

(3)
{"formula": "TbPmW", "functional": "PBE-GGA", "state": "relaxed", "lattice_angstrom": [[0.000, 3.472, 3.472], [3.472, 0.000, 3.472], [3.472, 3.472, 0.000]], "species": ["Pm", "Tb", "W"], "frac_coords": [[0.250, 0.250, 0.250], [0.750, 0.750, 0.750], [0.000, 0.000, 0.000]], "magnetic_moment_mub_per_fu": 0.00, "ef_ev_per_atom": 0.84}

---

(4)
{"formula": "SmTaGa", "functional": "PBE-GGA", "state": "relaxed", "lattice_angstrom": [[-2.517, -3.579, 2.149], [-3.788, 1.071, 2.876], [-4.537, -1.011, -1.468]], "species": ["Ga", "Sm", "Ta"], "frac_coords": [[0.250, 0.250, 0.250], [0.000, 0.000, 0.000], [0.750, 0.750, 0.750]], "energy_ev_per_cell": -16.1, "magnetic_moment_mub_per_fu": 2.56}

---

(5)
{"formula": "Y4PW", "functional": "PBE-GGA", "state": "relaxed", "lattice_angstrom": [[4.592, -4.722, 0.000], [4.592, 4.722, 0.000], [0.000, 0.000, 4.173]], "species": ["P", "W", "Y", "Y", "Y", "Y"], "frac_coords": [[0.000, 0.000, 0.500], [0.500, 0.500, 0.000], [0.202, 0.202, 0.000], [0.798, 0.798, 0.000], [0.706, 0.294, 0.500], [0.294, 0.706, 0.500]], "energy_ev_per_cell": -44.1, "magnetic_moment_mub_per_fu": 0.04}

---

(6)
{"formula": "DyZrS2O", "functional": "PBE-GGA", "state": "relaxed", "lattice_angstrom": [[-1.376, -0.834, 6.034], [-2.100, -3.905, 4.397], [8.121, -2.394, 0.899]], "species": ["Dy", "Dy", "O", "O", "S", "S", "S", "S", "Zr", "Zr"], "frac_coords": [[0.262, 0.262, 0.195], [0.738, 0.738, 0.805], [0.833, 0.833, 0.062], [0.167, 0.167, 0.938], [0.574, 0.574, 0.214], [0.852, 0.852, 0.423], [0.148, 0.148, 0.577], [0.426, 0.426, 0.786], [0.000, 0.000, 0.000], [0.500, 0.500, 0.500]], "energy_ev_per_cell": -75.6, "magnetic_moment_mub_per_fu": 0.23}

---

(7)
{"formula": "YAlCoIr", "functional": "PBE-GGA", "state": "relaxed", "lattice_angstrom": [[1.315, -4.296, 0.276], [-2.042, -2.798, 2.875], [-2.667, -3.275, -1.557]], "species": ["Al", "Co", "Ir", "Y"], "frac_coords": [[0.000, 0.000, 0.000], [0.750, 0.750, 0.750], [0.250, 0.250, 0.250], [0.500, 0.500, 0.500]], "energy_ev_per_cell": -28.1, "magnetic_moment_mub_per_fu": 0.01}

---

(8)
{"formula": "RbTbZnO3", "functional": "PBE-GGA", "state": "relaxed", "lattice_angstrom": [[-1.978, 0.292, -2.905], [1.467, -5.180, -3.661], [-6.649, -4.745, 4.050]], "species": ["O", "O", "O", "O", "O", "O", "Rb", "Rb", "Tb", "Tb", "Zn", "Zn"], "frac_coords": [[0.611, 0.777, 0.056], [0.962, 0.076, 0.250], [0.611, 0.777, 0.444], [0.389, 0.223, 0.556], [0.038, 0.924, 0.750], [0.389, 0.223, 0.944], [0.275, 0.451, 0.250], [0.725, 0.549, 0.750], [0.000, 0.000, 0.000], [0.000, 0.000, 0.500], [0.553, 0.894, 0.250], [0.447, 0.106, 0.750]], "energy_ev_per_cell": -70.1, "magnetic_moment_mub_per_fu": 0.00}

---

(9)
{"formula": "ReP", "functional": "PBE-GGA", "state": "relaxed", "lattice_angstrom": [[0.000, 2.456, 2.456], [2.456, 0.000, 2.456], [2.456, 2.456, 0.000]], "species": ["P", "Re"], "frac_coords": [[0.000, 0.000, 0.000], [0.500, 0.500, 0.500]], "energy_ev_per_cell": -16.6, "magnetic_moment_mub_per_fu": 0.03}

---

(10)
{"formula": "Rb2ReAg2S4", "functional": "PBE-GGA", "state": "relaxed", "lattice_angstrom": [[-4.207, 7.025, 8.590], [-3.313, -6.485, -9.370], [2.363, -4.911, 3.812]], "species": ["Ag", "Ag", "Ag", "Ag", "Rb", "Rb", "Rb", "Rb", "Re", "Re", "S", "S", "S", "S", "S", "S", "S", "S"], "frac_coords": [[0.682, 0.318, 0.250], [0.534, 0.466, 0.250], [0.466, 0.534, 0.750], [0.318, 0.682, 0.750], [0.938, 0.062, 0.250], [0.193, 0.807, 0.250], [0.807, 0.193, 0.750], [0.062, 0.938, 0.750], [0.378, 0.622, 0.250], [0.622, 0.378, 0.750], [0.760, 0.632, 0.047], [0.515, 0.875, 0.156], [0.125, 0.485, 0.344], [0.368, 0.240, 0.453], [0.632, 0.760, 0.547], [0.875, 0.515, 0.656], [0.485, 0.125, 0.844], [0.240, 0.368, 0.953]], "energy_ev_per_cell": -80.9, "magnetic_moment_mub_per_fu": 1.00}

---

(11)
{"formula": "TlBiTe3Pd", "functional": "PBE-GGA", "state": "relaxed", "lattice_angstrom": [[-0.110, -5.995, -6.550], [4.168, 0.545, -0.568], [1.961, -4.802, 9.777]], "species": ["Bi", "Bi", "Pd", "Pd", "Te", "Te", "Te", "Te", "Te", "Te", "Tl", "Tl"], "frac_coords": [[0.209, 0.750, 0.156], [0.791, 0.250, 0.844], [0.404, 0.250, 0.386], [0.596, 0.750, 0.614], [0.943, 0.250, 0.146], [0.481, 0.250, 0.169], [0.284, 0.750, 0.473], [0.716, 0.250, 0.527], [0.519, 0.750, 0.831], [0.057, 0.750, 0.854], [0.790, 0.750, 0.307], [0.210, 0.250, 0.693]], "energy_ev_per_cell": -44.4}

---

(12)
{"formula": "PuHgBi2", "functional": "PBE-GGA", "state": "relaxed", "lattice_angstrom": [[4.949, 0.000, 0.000], [0.000, 4.949, 0.000], [0.000, 0.000, 4.535]], "species": ["Bi", "Bi", "Hg", "Pu"], "frac_coords": [[0.500, 0.000, 0.000], [0.000, 0.500, 0.000], [0.000, 0.000, 0.500], [0.500, 0.500, 0.500]], "energy_ev_per_cell": -23.7, "magnetic_moment_mub_per_fu": 5.39}

---

(13)
{"formula": "HgAuO3", "functional": "PBE-GGA", "state": "relaxed", "lattice_angstrom": [[5.065, 0.249, 2.560], [0.330, -0.183, 5.669], [2.133, -4.925, 2.563]], "species": ["Au", "Au", "Hg", "Hg", "O", "O", "O", "O", "O", "O"], "frac_coords": [[0.841, 0.841, 0.478], [0.159, 0.159, 0.522], [0.628, 0.628, 0.117], [0.372, 0.372, 0.883], [0.561, 0.208, 0.275], [0.208, 0.956, 0.275], [0.956, 0.561, 0.275], [0.044, 0.439, 0.725], [0.792, 0.044, 0.725], [0.439, 0.792, 0.725]], "energy_ev_per_cell": -36.1}

---

(14)
{"formula": "Nb3CoN2", "functional": "PBE-GGA", "state": "relaxed", "lattice_angstrom": [[3.085, 0.000, 0.000], [-1.543, 2.672, 0.000], [0.000, 0.000, 18.208]], "species": ["Co", "Co", "N", "N", "N", "N", "Nb", "Nb", "Nb", "Nb", "Nb", "Nb"], "frac_coords": [[0.000, 0.000, 0.250], [0.000, 0.000, 0.750], [0.333, 0.667, 0.073], [0.333, 0.667, 0.427], [0.667, 0.333, 0.573], [0.667, 0.333, 0.927], [0.000, 0.000, 0.000], [0.667, 0.333, 0.142], [0.667, 0.333, 0.358], [0.000, 0.000, 0.500], [0.333, 0.667, 0.642], [0.333, 0.667, 0.858]], "energy_ev_per_cell": -114.3, "magnetic_moment_mub_per_fu": 0.57}

---

(15)
{"formula": "Sr2MgHgH6", "functional": "PBE-GGA", "state": "relaxed", "lattice_angstrom": [[2.242, -5.225, -1.224], [1.455, -3.623, 4.311], [-3.138, -4.805, 0.945]], "species": ["H", "H", "H", "H", "H", "H", "Hg", "Mg", "Sr", "Sr"], "frac_coords": [[0.767, 0.233, 0.233], [0.233, 0.767, 0.233], [0.767, 0.767, 0.233], [0.233, 0.233, 0.767], [0.767, 0.233, 0.767], [0.233, 0.767, 0.767], [0.500, 0.500, 0.500], [0.000, 0.000, 0.000], [0.250, 0.250, 0.250], [0.750, 0.750, 0.750]], "energy_ev_per_cell": -26.4}

---

(16)
{"formula": "LiMg2Zn3", "functional": "PBE-GGA", "state": "relaxed", "lattice_angstrom": [[-0.823, 2.082, -4.615], [-3.600, 0.325, 3.639], [1.795, 3.878, 1.429]], "species": ["Li", "Mg", "Mg", "Zn", "Zn", "Zn"], "frac_coords": [[0.000, 0.000, 0.000], [0.667, 0.333, 0.000], [0.333, 0.667, 0.000], [0.686, 0.000, 0.500], [0.314, 0.314, 0.500], [0.000, 0.686, 0.500]], "energy_ev_per_cell": -9.2}

---

(17)
{"formula": "HfPaPb", "functional": "PBE-GGA", "state": "relaxed", "lattice_angstrom": [[2.463, -2.882, 3.453], [-2.348, -4.042, 2.109], [1.487, -4.753, -1.220]], "species": ["Hf", "Pa", "Pb"], "frac_coords": [[0.250, 0.250, 0.250], [0.000, 0.000, 0.000], [0.750, 0.750, 0.750]], "energy_ev_per_cell": -20.0, "magnetic_moment_mub_per_fu": 2.99}

---

(18)
{"formula": "Ta4SiAsC2", "functional": "PBE-GGA", "state": "relaxed", "lattice_angstrom": [[-0.193, 1.285, 3.024], [-1.016, -3.083, -0.546], [11.083, -4.088, 2.445]], "species": ["As", "C", "C", "Si", "Ta", "Ta", "Ta", "Ta"], "frac_coords": [[0.000, 0.000, 0.000], [0.333, 0.667, 0.251], [0.333, 0.667, 0.749], [0.667, 0.333, 0.500], [0.667, 0.333, 0.156], [0.000, 0.000, 0.347], [0.000, 0.000, 0.653], [0.667, 0.333, 0.844]], "energy_ev_per_cell": -80.3, "magnetic_moment_mub_per_fu": 0.00}

---

(19)
{"formula": "CsScTe3Pd", "functional": "PBE-GGA", "state": "relaxed", "lattice_angstrom": [[-9.300, 1.750, -3.334], [-0.670, -4.172, -0.321], [0.999, -0.971, 10.550]], "species": ["Cs", "Cs", "Pd", "Pd", "Sc", "Sc", "Te", "Te", "Te", "Te", "Te", "Te"], "frac_coords": [[0.476, 0.750, 0.241], [0.524, 0.250, 0.759], [0.017, 0.250, 0.118], [0.983, 0.750, 0.882], [0.038, 0.750, 0.356], [0.962, 0.250, 0.644], [0.839, 0.750, 0.044], [0.822, 0.250, 0.342], [0.247, 0.250, 0.369], [0.753, 0.750, 0.631], [0.178, 0.750, 0.658], [0.161, 0.250, 0.956]], "energy_ev_per_cell": -54.2, "magnetic_moment_mub_per_fu": 0.00}

---

(20)
{"formula": "TbFeCoSi2", "functional": "PBE-GGA", "state": "relaxed", "lattice_angstrom": [[-0.612, -5.377, -1.192], [-0.603, -3.687, 4.093], [-2.145, 4.868, -1.553]], "species": ["Co", "Fe", "Si", "Si", "Tb"], "frac_coords": [[0.500, 0.500, 0.000], [0.000, 0.000, 0.000], [0.618, 0.118, 0.500], [0.882, 0.382, 0.500], [0.250, 0.750, 0.500]], "energy_ev_per_cell": -34.7, "magnetic_moment_mub_per_fu": 0.01}

---

(21)
{"formula": "NaZrTc", "functional": "PBE-GGA", "state": "relaxed", "lattice_angstrom": [[0.000, 3.212, 3.212], [3.212, 0.000, 3.212], [3.212, 3.212, 0.000]], "species": ["Na", "Tc", "Zr"], "frac_coords": [[0.500, 0.500, 0.500], [0.750, 0.750, 0.750], [0.000, 0.000, 0.000]], "energy_ev_per_cell": -17.1, "magnetic_moment_mub_per_fu": 0.05}

---

(22)
{"formula": "DyIrPt", "functional": "PBE-GGA", "state": "relaxed", "lattice_angstrom": [[0.000, 3.197, 3.197], [3.197, 0.000, 3.197], [3.197, 3.197, 0.000]], "species": ["Dy", "Ir", "Pt"], "frac_coords": [[0.250, 0.250, 0.250], [0.750, 0.750, 0.750], [0.000, 0.000, 0.000]], "magnetic_moment_mub_per_fu": 0.52, "ef_ev_per_atom": -0.31}

---

(23)
{"formula": "Sr2LiIrN6", "functional": "PBE-GGA", "state": "relaxed", "lattice_angstrom": [[5.367, 0.000, 0.000], [2.504, 4.870, 0.000], [2.504, 1.479, 4.678]], "species": ["Ir", "Li", "N", "N", "N", "N", "N", "N", "Sr", "Sr"], "frac_coords": [[0.500, 0.000, 0.000], [0.000, 0.500, 0.500], [0.249, 0.751, 0.240], [0.756, 0.758, 0.243], [0.257, 0.245, 0.251], [0.743, 0.755, 0.749], [0.244, 0.242, 0.757], [0.751, 0.249, 0.760], [0.749, 0.255, 0.257], [0.251, 0.745, 0.743]], "energy_ev_per_cell": -57.6, "magnetic_moment_mub_per_fu": 0.06}

---

(24)
{"formula": "TbTcI", "functional": "PBE-GGA", "state": "relaxed", "lattice_angstrom": [[-4.042, 0.642, 0.449], [-2.695, -2.752, -1.454], [2.549, -5.398, 11.428]], "species": ["I", "I", "Tb", "Tb", "Tc", "Tc"], "frac_coords": [[0.281, 0.281, 0.337], [0.719, 0.719, 0.663], [0.558, 0.558, 0.171], [0.442, 0.442, 0.829], [0.838, 0.838, 0.013], [0.162, 0.162, 0.987]], "energy_ev_per_cell": -37.4, "magnetic_moment_mub_per_fu": 0.01}

---

(25)
{"formula": "Ta2SbMo", "functional": "PBE-GGA", "state": "relaxed", "lattice_angstrom": [[0.000, 3.306, 3.306], [3.306, 0.000, 3.306], [3.306, 3.306, 0.000]], "species": ["Mo", "Sb", "Ta", "Ta"], "frac_coords": [[0.250, 0.250, 0.250], [0.500, 0.500, 0.500], [0.000, 0.000, 0.000], [0.750, 0.750, 0.750]], "energy_ev_per_cell": -37.9, "magnetic_moment_mub_per_fu": 0.00}